1.
Computed, not measured: a relaxed structure of Ca2ZnIn at the PBE level of DFT.

Lattice parameters (Å, degrees): 8.4053 8.4053 6.8750 52.32 52.32 90.00
With the nearest neighbours (Å) after each atom.
Fractional coordinates of all 8 atoms:
Ca 0.3750 0.3979 0.7500  2 Zn 2.97, 2 In 3.23
Ca 0.8750 0.8521 0.7500  2 Zn 2.97, 2 In 3.23
Ca 0.6021 0.1250 0.2500  2 Zn 2.97, 2 In 3.23
Ca 0.1479 0.6250 0.2500  2 Zn 2.97, 2 In 3.23
Zn 0.2500 0.7500 0.5000  4 Ca 2.97
Zn 0.5000 0.5000 0.0000  4 Ca 2.97
In 0.7500 0.2500 0.5000  4 Ca 3.23, 2 Zn 3.46
In 0.0000 0.0000 0.0000  4 Ca 3.23, 2 Zn 3.46

Calculated formation energy (eV per atom): -0.040
Fermi-level density of states (states/eV per cell): 9.4

2.
Computed, not measured: a relaxed structure of Ca2NiCl at the PBE level of DFT.

Lattice parameters (Å, degrees): 3.9110 3.9110 7.7729 75.32 75.32 59.99
With the nearest neighbours (Å) after each atom.
Fractional coordinates of all 4 atoms:
Ca 0.4904 0.4904 0.5308  3 Ni 2.78, 3 Cl 3.07-3.08
Ca 0.0096 0.0096 0.9692  3 Ni 2.78, 3 Cl 3.07-3.08
Ni 0.7500 0.7500 0.7500  6 Ca 2.78
Cl 0.2500 0.2500 0.2500  6 Ca 3.07-3.08

Energy above the lowest structure with this stoichiometry (meV per atom): 0
ΔE_f (raw) (eV/atom): -0.83
Fermi-level density of states (states/eV per cell): 2.0

The lowest Fermi-level density of states belongs to which entry?
Ca2NiCl

Among the records above, which one has the highest Fermi-level density of states?
Ca2ZnIn